# 1
Cr2SbPt, optimized geometry, DFT PBE; SG = F-43m (216); density = 10.49 g/cm³; Fermi-level density of states = 3.5 states/eV/f.u.; calculated total energy = -7.25 eV per atom
1.0
4.550 0.000 0.000
2.275 3.940 0.000
2.275 1.313 3.715
Cr Pt Sb
2 1 1
Cartesian
0.000 0.000 0.000
2.275 1.313 0.929
4.550 2.627 1.858
6.825 3.940 2.786

# 2
AgBiHRh2, optimized geometry, DFT PBE; SG = P4/mmm (123); density = 11.96 g/cm³; Fermi-level density of states = 2.8 states/eV/f.u.; calculated total energy = -4.87 eV per atom
1.0
-4.201 -0.024 0.413
0.375 -1.996 3.701
0.169 3.595 1.921
H Rh Bi Ag
1 2 1 1
Cartesian
0.000 0.000 0.000
0.188 -0.998 1.850
-2.100 -0.012 0.207
-1.828 0.788 3.018
0.084 1.797 0.961

# 3
Tl3AgSe, optimized geometry, DFT PBE; SG = Pm-3m (221); density = 8.07 g/cm³; Fermi-level density of states = 0.7 states/eV/f.u.; calculated total energy = -2.58 eV per atom
1.0
5.481 0.000 0.000
0.000 5.481 0.000
0.000 0.000 5.481
Tl Se Ag
3 1 1
Cartesian
0.000 2.741 0.000
0.000 0.000 2.741
2.741 0.000 0.000
2.741 2.741 2.741
0.000 0.000 0.000

# 4
NpAg4Hg, optimized geometry, DFT PBE; formation energy = 1.0 eV/f.u.; SG = F-43m (216); density = 11.58 g/cm³; Fermi-level density of states = 15.1 states/eV/f.u.; calculated total energy = -3.94 eV per atom
1.0
5.607 0.000 0.000
2.803 4.855 0.000
2.803 1.618 4.578
Np Hg Ag
1 1 4
Cartesian
2.803 1.618 1.144
0.000 0.000 0.000
5.607 3.237 0.568
5.607 1.615 2.862
7.012 4.048 2.862
4.202 4.048 2.862

# 5
TiTeMoN2, optimized geometry, DFT PBE; SG = P4/mmm (123); density = 5.74 g/cm³; Fermi-level density of states = 5.3 states/eV/f.u.; relative energy among the computed polymorphs = 0 meV per atom; calculated total energy = -7.21 eV per atom
1.0
-3.035 -2.189 1.245
2.023 -3.280 -0.836
2.117 -0.007 5.150
N Mo Te Ti
2 1 1 1
Cartesian
1.011 -1.640 -0.418
-1.518 -1.094 0.622
0.000 0.000 0.000
1.059 -0.004 2.575
0.552 -2.738 2.779

# 6
Nd6CdRh2, optimized geometry, DFT PBE; formation energy = -3.2 eV/f.u.; SG = C2/m (12); density = 7.87 g/cm³; Fermi-level density of states = 8.1 states/eV/f.u.; relative energy among the computed polymorphs = 83 meV per atom; calculated total energy = -5.26 eV per atom
1.0
5.210 0.000 0.000
-2.605 5.112 1.073
0.000 -0.083 9.356
Nd Cd Rh
6 1 2
Cartesian
2.605 4.668 8.919
2.605 2.113 2.018
0.000 2.915 8.410
2.605 1.585 6.057
0.000 3.444 4.372
0.000 0.360 1.510
0.000 -0.042 4.678
2.605 1.176 8.702
0.000 3.852 1.726